Record 1
Tb5Dy7Tm | PBE | relaxed

Geometry as POSCAR:
```
Tb5Dy7Tm
1.0
-6.400 -1.243 -1.280
-1.763 -8.463 -0.208
-4.738 -0.766 7.193
Dy Tb Tm
7 5 1
Cartesian
-6.458 -5.834 3.472
-6.427 -3.384 0.936
-10.162 -4.692 3.640
-7.435 -2.851 5.456
-5.470 -7.932 0.571
-9.142 -7.331 1.104
-3.227 -2.764 1.577
-7.280 -9.431 3.118
-8.629 -5.940 6.474
-12.075 -6.610 5.785
-10.726 -10.100 2.429
-9.677 -7.989 4.419
-6.497 -8.920 6.665
```

Computed properties:
- ΔH_f (0 K) (eV per atom) = 0.261
- density of states at the Fermi level (states/eV per atom) = 1.83
- SG = Imm2, No. 44
- ρ (g/cm³) = 8.24

Record 2
TbDy2Tm4 | PBE | relaxed

Geometry as POSCAR:
```
TbDy2Tm4
1.0
-2.496 0.706 9.391
6.111 -5.524 1.295
-0.768 8.088 -1.935
Tm Dy Tb
8 4 2
Cartesian
0.522 2.014 1.448
-1.695 2.740 7.445
1.798 2.645 4.583
3.294 0.064 6.676
-0.110 5.119 2.615
2.444 -0.462 3.421
5.140 -0.937 0.655
1.528 2.630 7.974
4.304 -2.883 5.306
0.445 5.433 5.994
2.398 4.559 0.089
-0.073 0.098 5.945
4.128 2.018 2.022
-0.618 -0.076 9.430
```

Computed properties:
- ΔH_f (0 K) (eV per atom) = 0.080
- density of states at the Fermi level (states/eV per atom) = 1.60
- SG = P1, No. 1
- ρ (g/cm³) = 8.93

Record 3
Tb2Dy3Tm4 | PBE | relaxed

Geometry as POSCAR:
```
Tb2Dy3Tm4
1.0
5.714 1.613 1.155
2.283 10.861 0.744
2.283 4.204 10.042
Tm Dy Tb
8 6 4
Cartesian
4.623 6.166 2.450
7.767 7.322 10.292
5.657 10.511 9.491
1.766 3.499 4.471
2.513 9.355 1.649
8.514 13.178 7.470
4.910 11.296 3.038
5.370 5.382 8.903
3.712 8.579 4.783
8.036 13.119 10.756
2.244 3.559 1.185
5.179 13.603 8.376
5.101 3.075 3.565
6.569 8.098 7.158
6.999 8.130 3.815
3.281 8.548 8.126
6.138 11.253 6.051
4.142 5.425 5.890
```

Computed properties:
- ΔH_f (0 K) (eV per atom) = 0.104
- density of states at the Fermi level (states/eV per atom) = 1.47
- SG = C2/c, No. 15
- ρ (g/cm³) = 8.89

Record 4
Tb3DyTm3 | PBE | relaxed

Geometry as POSCAR:
```
Tb3DyTm3
1.0
-0.896 -3.655 4.817
4.687 -1.461 3.643
-1.465 9.527 10.835
Tb Dy Tm
6 2 6
Cartesian
3.307 1.784 8.417
-0.129 1.526 7.608
2.455 2.885 11.687
-0.981 2.627 10.878
1.169 4.587 8.863
1.157 -0.177 10.432
1.263 -1.704 2.821
1.063 6.115 16.474
0.128 -1.918 7.622
0.044 4.379 13.673
3.550 -1.670 8.439
2.198 6.329 11.673
-1.224 6.081 10.856
2.282 0.032 5.622
```

Computed properties:
- ΔH_f (0 K) (eV per atom) = 0.151
- density of states at the Fermi level (states/eV per atom) = 1.44
- SG = R-3, No. 148
- ρ (g/cm³) = 8.36

Record 5
Tb4Dy3Tm5 | PBE | relaxed

Geometry as POSCAR:
```
Tb4Dy3Tm5
1.0
-4.152 -0.517 -4.057
3.391 -2.367 -7.356
-5.750 -7.145 2.608
Tm Dy Tb
5 3 4
Cartesian
-4.006 -8.275 -7.405
-3.255 -5.015 -4.402
-2.505 -1.754 -1.399
0.011 -2.017 -3.941
-6.522 -8.012 -4.864
-1.375 -3.791 -6.482
-5.135 -6.238 -2.322
-1.179 -4.756 -2.374
-4.098 -4.628 0.598
-3.360 -8.647 -3.832
-3.150 -1.382 -4.972
-2.412 -5.402 -9.402
```

Computed properties:
- ΔH_f (0 K) (eV per atom) = 0.246
- density of states at the Fermi level (states/eV per atom) = 1.60
- SG = C2/m, No. 12
- ρ (g/cm³) = 8.60

Record 6
Tb12Dy7Tm | PBE | relaxed

Geometry as POSCAR:
```
Tb12Dy7Tm
1.0
-1.814 -4.926 6.893
-1.581 -6.243 -5.796
8.540 -1.433 0.306
Tm Tb Dy
1 12 7
Cartesian
0.000 0.000 0.000
3.994 -6.563 4.388
3.172 -4.016 -1.246
1.151 -6.040 -2.985
5.395 -7.344 1.270
-0.406 -8.838 0.084
-0.285 -5.913 3.416
1.972 -8.587 2.649
-0.251 -5.259 0.133
5.550 -3.765 1.319
5.429 -6.690 -2.013
2.450 -3.885 2.578
2.694 -8.718 -1.175
5.094 -10.608 -0.923
2.572 -6.302 0.701
0.050 -1.995 2.326
2.311 -11.460 1.634
-0.522 -2.649 -1.450
5.666 -9.954 2.853
2.834 -1.143 -0.232
```

Computed properties:
- ΔH_f (0 K) (eV per atom) = 0.290
- density of states at the Fermi level (states/eV per atom) = 0.92
- SG = R-3, No. 148
- ρ (g/cm³) = 8.30